The following is a PBE-GGA calculation of an optimized crystal structure of PmSnBiAu, from Alexandria.

N(E_F): 0.5535 states/eV per atom
ΔE_f: -0.3764 eV/atom
E_tot: -17.4 eV per formula unit

```
data_PmSnBiAu
_chemical_formula_sum 'Pm4 Sn4 Bi4 Au4'
_cell_length_a 7.5496
_cell_length_b 7.5496
_cell_length_c 7.5496
_cell_angle_alpha 90.00
_cell_angle_beta 90.00
_cell_angle_gamma 90.00
_space_group_name_H-M_alt 'F -4 3 m'
_space_group_IT_number 216
_space_group_name_Hall 'F -4 2 3'
loop_
_atom_site_label
_atom_site_fract_x
_atom_site_fract_y
_atom_site_fract_z
Pm1 0.0000 0.0000 0.0000
Sn1 0.2500 0.2500 0.7500
Bi1 0.0000 0.0000 0.5000
Au1 0.2500 0.2500 0.2500
```